Below is a relaxed structure of Rb3BiBr6, with properties calculated at the PBE level.

Cell: 8.644 13.627 27.415 Å, 90.00 90.00 90.00°
Fractional positions:
Rb (0.574, 0.339, 0.340)
Rb (0.080, 0.182, 0.044)
Rb (0.580, 0.318, 0.956)
Rb (0.420, 0.682, 0.456)
Rb (0.920, 0.818, 0.544)
Rb (0.920, 0.818, 0.956)
Rb (0.420, 0.682, 0.044)
Rb (0.580, 0.318, 0.544)
Rb (0.076, 0.489, 0.159)
Rb (0.576, 0.011, 0.841)
Rb (0.424, 0.989, 0.341)
Rb (0.924, 0.511, 0.659)
Rb (0.924, 0.511, 0.841)
Rb (0.424, 0.989, 0.159)
Rb (0.576, 0.011, 0.659)
Rb (0.076, 0.489, 0.341)
Rb (0.080, 0.182, 0.456)
Rb (0.074, 0.161, 0.840)
Rb (0.926, 0.839, 0.340)
Rb (0.426, 0.661, 0.660)
Rb (0.426, 0.661, 0.840)
Rb (0.926, 0.839, 0.160)
Rb (0.074, 0.161, 0.660)
Rb (0.574, 0.339, 0.160)
Bi (0.000, 0.500, 0.500)
Bi (0.500, 0.000, 0.500)
Bi (0.500, 0.000, 0.000)
Bi (0.000, 0.500, 0.000)
Bi (0.002, 0.835, 0.750)
Bi (0.502, 0.665, 0.250)
Bi (0.498, 0.335, 0.750)
Bi (0.998, 0.165, 0.250)
Br (0.787, 0.778, 0.828)
Br (0.831, 0.381, 0.431)
Br (0.331, 0.119, 0.569)
Br (0.669, 0.881, 0.069)
Br (0.286, 0.435, 0.453)
Br (0.169, 0.619, 0.569)
Br (0.669, 0.881, 0.431)
Br (0.331, 0.119, 0.931)
Br (0.864, 0.360, 0.250)
Br (0.364, 0.140, 0.750)
Br (0.636, 0.860, 0.250)
Br (0.136, 0.640, 0.750)
Br (0.136, 0.970, 0.250)
Br (0.636, 0.530, 0.750)
Br (0.364, 0.470, 0.250)
Br (0.864, 0.030, 0.750)
Br (0.213, 0.222, 0.172)
Br (0.713, 0.278, 0.828)
Br (0.287, 0.722, 0.328)
Br (0.787, 0.778, 0.672)
Br (0.169, 0.619, 0.931)
Br (0.287, 0.722, 0.172)
Br (0.713, 0.278, 0.672)
Br (0.213, 0.222, 0.328)
Br (0.790, 0.109, 0.174)
Br (0.290, 0.391, 0.826)
Br (0.710, 0.609, 0.326)
Br (0.210, 0.891, 0.674)
Br (0.210, 0.891, 0.826)
Br (0.710, 0.609, 0.174)
Br (0.290, 0.391, 0.674)
Br (0.790, 0.109, 0.326)
Br (0.003, 0.668, 0.063)
Br (0.503, 0.832, 0.937)
Br (0.497, 0.168, 0.437)
Br (0.997, 0.332, 0.563)
Br (0.997, 0.332, 0.937)
Br (0.497, 0.168, 0.063)
Br (0.503, 0.832, 0.563)
Br (0.003, 0.668, 0.437)
Br (0.286, 0.435, 0.047)
Br (0.786, 0.065, 0.953)
Br (0.214, 0.935, 0.453)
Br (0.714, 0.565, 0.547)
Br (0.714, 0.565, 0.953)
Br (0.214, 0.935, 0.047)
Br (0.786, 0.065, 0.547)
Br (0.831, 0.381, 0.069)

Properties
SG ... No. 62
Final energy ... -3.070 eV/atom
Formation energy (no corrections) ... -1.39 eV/atom